{"formula": "VAg2PbF8", "functional": "PBE with a Hubbard U", "state": "optimized geometry", "sg": "P2/m", "dft_energy_ev_per_cell": -56.36, "vol_a3_per_cell": 193, "lattice": [[4.569, 0.000, 0.000], [0.000, 7.439, 0.000], [-0.287, 0.000, 5.687]], "species": ["V", "Ag", "Ag", "Pb", "F", "F", "F", "F", "F", "F", "F", "F"], "frac_coords": [[0.000, 0.000, 0.000], [0.500, 0.246, 0.500], [0.500, 0.754, 0.500], [0.000, 0.500, 0.000], [0.140, 0.191, 0.808], [0.140, 0.809, 0.808], [0.328, 0.000, 0.201], [0.452, 0.500, 0.244], [0.548, 0.500, 0.756], [0.672, 0.000, 0.799], [0.860, 0.191, 0.192], [0.860, 0.809, 0.192]]}